## La4CuMo (PBE)

Data for crystalline La4CuMo at its relaxed geometry.

Values from the calculation:
DOS at the Fermi energy   8.59 states/eV per cell
SG   No. 216
Energy of formation   0.978 eV/atom
M_tot   1.189 μB/f.u.

Cell: 6.2696 6.2696 6.2696 Å, 60.00 60.00 60.00°
Last column: nearest neighbours and their distance in Å.
Positions (direct):
1 La 0.8727 0.3758 0.3758  6 La 3.12-3.15
2 La 0.3758 0.3758 0.8727  6 La 3.12-3.15
3 La 0.3758 0.8727 0.3758  6 La 3.12-3.15
4 La 0.3758 0.3758 0.3758  6 La 3.12-3.15
5 Cu 0.0000 0.0000 0.0000  12 La 3.68, 4 Mo 3.84
6 Mo 0.7500 0.7500 0.7500  12 La 3.67, 4 Cu 3.84